{"formula": "Fe3CuNi2P6O24", "functional": "PBE with a Hubbard U", "state": "relaxed", "lattice_angstrom": [[4.3042, 2.4851, 6.8977], [-4.3042, 2.4851, 6.8977], [0.0000, -4.9701, 6.8977]], "species": ["Fe", "Fe", "Fe", "Cu", "Ni", "Ni", "P", "P", "P", "P", "P", "P", "O", "O", "O", "O", "O", "O", "O", "O", "O", "O", "O", "O", "O", "O", "O", "O", "O", "O", "O", "O", "O", "O", "O", "O"], "frac_coords": [[0.0000, 0.0000, 0.0000], [0.2123, 0.2123, 0.2123], [0.7118, 0.7118, 0.7118], [0.5001, 0.5001, 0.5001], [0.3564, 0.3564, 0.3564], [0.8554, 0.8554, 0.8554], [0.1077, 0.8096, 0.4030], [0.3099, 0.6056, 0.8989], [0.4030, 0.1077, 0.8096], [0.6056, 0.8989, 0.3099], [0.8096, 0.4030, 0.1077], [0.8989, 0.3099, 0.6056], [0.0382, 0.8514, 0.2469], [0.0990, 0.2978, 0.4473], [0.1079, 0.7624, 0.9197], [0.1770, 0.9650, 0.3611], [0.2469, 0.0382, 0.8514], [0.2677, 0.6102, 0.4114], [0.2978, 0.4473, 0.0990], [0.3396, 0.5378, 0.7456], [0.3611, 0.1770, 0.9650], [0.4114, 0.2677, 0.6102], [0.4473, 0.0990, 0.2978], [0.4648, 0.6780, 0.8509], [0.5378, 0.7456, 0.3396], [0.6028, 0.9498, 0.7918], [0.6102, 0.4114, 0.2677], [0.6780, 0.8509, 0.4648], [0.7456, 0.3396, 0.5378], [0.7624, 0.9197, 0.1079], [0.7918, 0.6028, 0.9498], [0.8514, 0.2469, 0.0382], [0.8509, 0.4648, 0.6780], [0.9197, 0.1079, 0.7624], [0.9498, 0.7918, 0.6028], [0.9650, 0.3611, 0.1770]], "e_tot_ev_per_atom": -6.65, "vol_a3_per_fu": 443, "dos_ef_per_ev_atom": 0.526}